Entry from the Alexandria database: an optimized crystal structure of Co4TcSe (GGA-PBEsol).

Cell: 4.6457 4.6457 4.6457 Å, 60.00 60.00 60.00°
With the nearest neighbours (Å) after each atom.
Sites, in units of the cell vectors:
Co  0.3743  0.8771  0.3743  6 Co 2.31-2.34
Co  0.3743  0.3743  0.8771  6 Co 2.31-2.34
Co  0.3743  0.3743  0.3743  6 Co 2.31-2.34
Co  0.8771  0.3743  0.3743  6 Co 2.31-2.34
Tc  0.0000  0.0000  0.0000  12 Co 2.72, 4 Se 2.84
Se  0.7500  0.7500  0.7500  12 Co 2.73, 4 Tc 2.84

For the total magnetization, the calculation gives 0.641 μB/atom. Its uncorrected formation energy is 0.4471 eV per atom.

***

Entry from the Alexandria database: an optimized crystal structure of SbTeAu2 (GGA-PBEsol).

Cell: 4.2819 4.7487 4.7487 Å, 107.49 90.00 90.00°
With the nearest neighbours (Å) after each atom.
Sites, in units of the cell vectors:
Au  0.5000  0.7589  0.2411  2 Sb 2.73, 2 Au 2.76, 2 Te 2.83
Au  0.0000  0.9864  0.0136  2 Au 2.76, 2 Te 2.78, 2 Sb 2.84
Te  0.5000  0.2180  0.7820  4 Au 2.78-2.83
Sb  0.0000  0.5377  0.4623  4 Au 2.73-2.84

For the total magnetization, the calculation gives 0.000 μB/atom. Its uncorrected formation energy is -0.0280 eV per atom.

***

Entry from the Alexandria database: an optimized crystal structure of AlAsRhSe2 (GGA-PBEsol).

Cell: 4.4906 4.9974 4.9974 Å, 90.00 90.00 90.00°
With the nearest neighbours (Å) after each atom.
Sites, in units of the cell vectors:
Se  0.0000  0.0000  0.5000  2 Rh 2.50
Se  0.0000  0.5000  0.0000  2 Rh 2.50
Al  0.5000  0.5000  0.5000  8 Se 3.36, 4 As 3.53
Rh  0.0000  0.0000  0.0000  2 As 2.25, 4 Se 2.50
As  0.5000  0.0000  0.0000  2 Rh 2.25

For the total magnetization, the calculation gives 0.000 μB/atom. Its uncorrected formation energy is 0.3715 eV per atom.

***

Entry from the Alexandria database: an optimized crystal structure of Zn2SeBr (GGA-PBEsol).

Cell: 3.2538 4.8201 4.8201 Å, 90.00 90.00 90.00°
With the nearest neighbours (Å) after each atom.
Sites, in units of the cell vectors:
Zn  0.0000  0.5000  0.0000  4 Br 2.91, 4 Se 2.91, 2 Zn 3.25
Zn  0.0000  0.0000  0.5000  4 Br 2.91, 4 Se 2.91, 2 Zn 3.25
Br  0.5000  0.5000  0.5000  8 Zn 2.91, 2 Br 3.25
Se  0.5000  0.0000  0.0000  8 Zn 2.91, 2 Se 3.25

For the total magnetization, the calculation gives 0.000 μB/atom. Its uncorrected formation energy is 0.0357 eV per atom.

***

Entry from the Alexandria database: an optimized crystal structure of ZnTe2P (GGA-PBEsol).

Cell: 3.0528 5.5610 5.5610 Å, 90.33 94.84 94.84°
With the nearest neighbours (Å) after each atom.
Sites, in units of the cell vectors:
P  0.0000  0.5000  0.5000  4 Te 2.78, 2 P 3.05
Zn  0.0000  0.0000  0.0000  4 Te 2.78, 2 Zn 3.05
Te  0.0000  0.0000  0.5000  2 P 2.78, 2 Zn 2.78, 2 Te 3.05
Te  0.0000  0.5000  0.0000  2 Zn 2.78, 2 P 2.78, 2 Te 3.05

For the total magnetization, the calculation gives 0.000 μB/atom. Its uncorrected formation energy is 0.2054 eV per atom.

***

Entry from the Alexandria database: an optimized crystal structure of CdTe (GGA-PBEsol).

Cell: 4.2158 6.3794 6.3794 Å, 93.93 90.00 90.00°
With the nearest neighbours (Å) after each atom.
Sites, in units of the cell vectors:
Te  0.0000  0.0000  0.5000  6 Cd 3.15-3.19, 2 Te 3.19
Te  0.0000  0.5000  0.0000  6 Cd 3.15-3.19, 2 Te 3.19
Te  0.0000  0.5000  0.5000  4 Cd 3.12, 4 Te 3.19
Cd  0.5000  0.7640  0.7640  2 Cd 2.94, 6 Te 3.12-3.15
Cd  0.5000  0.2360  0.2360  2 Cd 2.94, 6 Te 3.12-3.15
Cd  0.0000  0.0000  0.0000  4 Cd 2.94, 4 Te 3.19

For the total magnetization, the calculation gives 0.000 μB/atom. Its uncorrected formation energy is 0.0250 eV per atom.

***

Entry from the Alexandria database: an optimized crystal structure of LiCoSe2N (GGA-PBEsol).

Cell: 3.2902 4.9620 4.9620 Å, 90.00 90.00 90.00°
With the nearest neighbours (Å) after each atom.
Sites, in units of the cell vectors:
Li  0.5000  0.5000  0.5000  8 Se 2.98, 2 Li 3.29
Se  0.0000  0.5000  0.0000  2 Co 2.48
Se  0.0000  0.0000  0.5000  2 Co 2.48
N  0.5000  0.0000  0.0000  2 Co 1.65
Co  0.0000  0.0000  0.0000  2 N 1.65

For the total magnetization, the calculation gives 0.000 μB/atom. Its uncorrected formation energy is -0.0470 eV per atom.

***

Entry from the Alexandria database: an optimized crystal structure of Co2TcMo (GGA-PBEsol).

Cell: 2.5788 3.6599 5.1578 Å, 90.00 90.00 90.00°
With the nearest neighbours (Å) after each atom.
Sites, in units of the cell vectors:
Co  0.0000  0.0000  0.7427  4 Co 2.50-2.65, 4 Tc 2.56, 4 Mo 2.60
Co  0.0000  0.0000  0.2573  4 Co 2.50-2.65, 4 Tc 2.56, 4 Mo 2.60
Tc  0.5000  0.5000  0.5000  8 Co 2.56, 2 Tc 2.58, 2 Mo 2.58
Mo  0.5000  0.5000  0.0000  2 Mo 2.58, 2 Tc 2.58, 8 Co 2.60

The value obtained for the energy of formation from the pure elements is 1.3 meV per atom. For the total magnetization, the calculation gives 0.001 μB/atom.

***

Entry from the Alexandria database: an optimized crystal structure of LiZnIn2 (GGA-PBEsol).

Cell: 3.2991 4.9105 5.2301 Å, 98.75 90.00 109.63°
With the nearest neighbours (Å) after each atom.
Sites, in units of the cell vectors:
In  0.2448  0.4897  0.7162  3 Li 2.77-2.92, 2 Zn 2.89, 1 In 2.96
In  0.0049  0.0099  0.0279  3 Zn 2.80-2.94, 2 Li 2.94, 1 In 2.96
Li  0.4959  0.9918  0.4904  5 In 2.77-2.94, 3 Zn 2.83-2.87
Zn  0.7543  0.5087  0.2655  5 In 2.80-2.94, 3 Li 2.83-2.87

The value obtained for the energy of formation from the pure elements is -94.3 meV per atom. For the total magnetization, the calculation gives 0.000 μB/atom.

***

Entry from the Alexandria database: an optimized crystal structure of Ti2FeB2 (GGA-PBEsol).

Cell: 3.1563 5.6355 5.6355 Å, 90.00 90.00 90.00°
With the nearest neighbours (Å) after each atom.
Sites, in units of the cell vectors:
Ti  0.5000  0.3204  0.1796  6 B 2.29-2.31
Ti  0.5000  0.1796  0.6796  6 B 2.29-2.31
Ti  0.5000  0.6796  0.8204  6 B 2.29-2.31
Ti  0.5000  0.8204  0.3204  6 B 2.29-2.31
B  0.0000  0.3872  0.8872  1 B 1.80
B  0.0000  0.6128  0.1128  1 B 1.80
B  0.0000  0.1128  0.3872  1 B 1.80
B  0.0000  0.8872  0.6128  1 B 1.80
Fe  0.0000  0.0000  0.0000  4 B 2.27
Fe  0.0000  0.5000  0.5000  4 B 2.27

The value obtained for the energy of formation from the pure elements is -832.4 meV per atom. For the total magnetization, the calculation gives 0.034 μB/atom.

***

Entry from the Alexandria database: an optimized crystal structure of CaSc2Cl (GGA-PBEsol).

Cell: 3.3237 5.6046 5.7325 Å, 90.00 90.00 90.00°
With the nearest neighbours (Å) after each atom.
Sites, in units of the cell vectors:
Ca  0.5000  0.5000  0.5000  2 Cl 2.80
Sc  0.0000  0.2610  0.0000  2 Sc 2.68-2.93
Sc  0.0000  0.7390  0.0000  2 Sc 2.68-2.93
Cl  0.5000  0.0000  0.5000  2 Ca 2.80

For the total magnetization, the calculation gives 0.001 μB/atom. Its uncorrected formation energy is -0.1069 eV per atom.

***

Entry from the Alexandria database: an optimized crystal structure of RbMoP2O (GGA-PBEsol).

Cell: 3.9416 5.1072 5.1072 Å, 90.00 90.00 90.00°
With the nearest neighbours (Å) after each atom.
Sites, in units of the cell vectors:
O  0.5000  0.0000  0.0000  2 Rb 1.97
P  0.0000  0.0000  0.5000  2 Rb 2.55
P  0.0000  0.5000  0.0000  2 Rb 2.55
Mo  0.5000  0.5000  0.5000  8 P 3.23, 4 O 3.61
Rb  0.0000  0.0000  0.0000  2 O 1.97

For the total magnetization, the calculation gives 0.460 μB/atom. Its uncorrected formation energy is 2.1030 eV per atom.

***

Entry from the Alexandria database: an optimized crystal structure of K2CaSb (GGA-PBEsol).

Cell: 3.9964 5.5659 6.7978 Å, 90.00 90.00 90.00°
With the nearest neighbours (Å) after each atom.
Sites, in units of the cell vectors:
K  0.0000  0.0000  0.7821  1 K 2.96
K  0.0000  0.0000  0.2179  1 K 2.96
Sb  0.5000  0.5000  0.0000  2 Ca 3.40, 8 K 3.73
Ca  0.5000  0.5000  0.5000  2 Sb 3.40

For the total magnetization, the calculation gives 0.000 μB/atom. Its uncorrected formation energy is -0.1327 eV per atom.